(1)
An optimized crystal structure of KScPt3, computed with GGA-PBE.

Calculated values
* E_tot: -4.9122 eV/atom
* excess energy over the best structure of this formula in the dataset: 0 meV per atom
* symmetry: Pm-3m, No. 221
* ΔE_f: 0.20 eV/atom

```
KScPt3
1.0
-2.251 4.264 1.275
-4.439 -2.049 -0.984
-0.318 -1.579 4.720
Sc K Pt
1 1 3
Direct
0.000 0.000 0.000 Sc
0.500 0.500 0.500 K
0.000 0.500 0.000 Pt
0.000 0.000 0.500 Pt
0.500 0.000 0.000 Pt
```


(2)
An optimized crystal structure of Ac4FeI5, computed with GGA-PBE.

Calculated values
* E_tot: -4.2709 eV/atom
* symmetry: C2/m, No. 12
* raw formation energy: -1.01 eV/atom

```
Ac4FeI5
1.0
4.276 -0.001 -1.174
-1.079 8.806 -3.933
1.063 -2.384 12.238
Ac Fe I
4 1 5
Direct
0.640 0.203 0.281 Ac
0.999 0.791 0.998 Ac
0.360 0.797 0.719 Ac
0.001 0.209 0.002 Ac
0.500 0.000 0.000 Fe
0.168 0.987 0.336 I
0.176 0.518 0.351 I
0.824 0.482 0.649 I
0.500 0.500 0.000 I
0.832 0.013 0.664 I
```


(3)
An optimized crystal structure of HoCdHgAu, computed with GGA-PBE.

Calculated values
* E_tot: -2.7864 eV/atom
* symmetry: F-43m, No. 216
* ΔE_f: -0.52 eV/atom

```
HoCdHgAu
1.0
-1.178 4.351 -2.132
-3.641 2.813 1.922
1.109 4.284 2.298
Cd Au Hg Ho
1 1 1 1
Direct
0.250 0.250 0.250 Cd
0.500 0.500 0.500 Au
0.000 0.000 0.000 Hg
0.750 0.750 0.750 Ho
```


(4)
An optimized crystal structure of NaSrZrCu2, computed with GGA-PBE.

Calculated values
* E_tot: -3.0734 eV/atom
* symmetry: P4/mmm, No. 123
* ΔE_f: 0.87 eV/atom

```
NaSrZrCu2
1.0
5.089 0.000 0.000
0.000 5.885 0.000
0.000 0.000 5.089
Sr Cu Zr Na
1 2 1 1
Direct
0.000 0.500 0.000 Sr
0.000 0.000 0.500 Cu
0.500 0.000 0.000 Cu
0.000 0.000 0.000 Zr
0.500 0.500 0.500 Na
```


(5)
An optimized crystal structure of BC2, computed with GGA-PBE.

Calculated values
* E_tot: -8.0086 eV/atom
* excess energy over the best structure of this formula in the dataset: 126 meV per atom
* symmetry: Pm, No. 6
* ΔE_f: 0.37 eV/atom

```
BC2
1.0
-1.365 0.038 2.180
-3.248 -2.539 -1.989
3.072 -5.357 2.017
B C
4 8
Direct
0.500 0.832 0.338 B
0.500 0.192 0.902 B
0.000 0.330 0.329 B
0.000 0.975 0.019 B
0.500 0.500 0.232 C
0.500 0.515 0.001 C
0.000 0.669 0.672 C
0.000 0.335 0.587 C
0.000 0.992 0.256 C
0.000 0.657 0.914 C
0.500 0.170 0.653 C
0.500 0.833 0.598 C
```


(6)
An optimized crystal structure of KErS2, computed with GGA-PBE.

Calculated values
* E_tot: -5.3685 eV/atom
* symmetry: R-3m, No. 166
* raw formation energy: -1.89 eV/atom

```
KErS2
1.0
-0.063 6.272 4.496
-3.000 3.932 5.924
0.816 3.225 6.964
K S Er
1 2 1
Direct
0.500 0.500 0.500 K
0.733 0.733 0.733 S
0.267 0.267 0.267 S
0.000 0.000 0.000 Er
```


(7)
An optimized crystal structure of LaCuSe2, computed with GGA-PBE.

Calculated values
* E_tot: -5.0612 eV/atom
* symmetry: I-42d, No. 122
* raw formation energy: -1.06 eV/atom

```
LaCuSe2
1.0
5.951 0.000 0.000
0.000 5.951 0.000
2.975 2.975 6.623
Cu Se La
2 4 2
Direct
0.500 0.500 0.000 Cu
0.250 0.750 0.500 Cu
0.567 0.125 0.250 Se
0.183 0.625 0.250 Se
0.375 0.433 0.750 Se
0.875 0.817 0.750 Se
0.000 0.000 0.000 La
0.750 0.250 0.500 La
```


(8)
An optimized crystal structure of LaThAgPd, computed with GGA-PBE.

Calculated values
* E_tot: -5.4667 eV/atom
* symmetry: F-43m, No. 216
* ΔE_f: -0.37 eV/atom

```
LaThAgPd
1.0
-4.062 0.522 -3.286
-3.018 -4.147 -1.123
-4.912 -0.247 1.838
Pd Ag Th La
1 1 1 1
Direct
0.750 0.750 0.750 Pd
0.250 0.250 0.250 Ag
0.000 0.000 0.000 Th
0.500 0.500 0.500 La
```


(9)
An optimized crystal structure of LaEuNiRu, computed with GGA-PBE.

Calculated values
* E_tot: -7.5785 eV/atom
* symmetry: F-43m, No. 216
* ΔE_f: -0.01 eV/atom

```
LaEuNiRu
1.0
4.975 0.000 0.000
2.487 4.308 0.000
2.487 1.436 4.062
Eu Ru Ni La
1 1 1 1
Direct
0.000 0.000 0.000 Eu
0.750 0.750 0.750 Ru
0.250 0.250 0.250 Ni
0.500 0.500 0.500 La
```


(10)
An optimized crystal structure of LiTa3Pb, computed with GGA-PBE.

Calculated values
* E_tot: -5.9048 eV/atom
* excess energy over the best structure of this formula in the dataset: 1291 meV per atom
* symmetry: Pm-3m, No. 221
* ΔE_f: 2.33 eV/atom

```
LiTa3Pb
1.0
5.179 0.000 0.000
0.000 5.179 0.000
0.000 0.000 5.179
Pb Li Ta
1 1 3
Direct
0.000 0.000 0.000 Pb
0.500 0.500 0.500 Li
0.000 0.500 0.000 Ta
0.000 0.000 0.500 Ta
0.500 0.000 0.000 Ta
```


(11)
An optimized crystal structure of KTlGa2Br4, computed with GGA-PBE.

Calculated values
* E_tot: -2.9373 eV/atom
* symmetry: P2/m, No. 10
* raw formation energy: -0.91 eV/atom

```
KTlGa2Br4
1.0
4.615 0.000 0.000
0.000 7.986 -0.157
0.000 2.811 7.485
K Tl Ga Br
1 1 2 4
Direct
0.000 0.500 0.500 K
0.500 0.500 0.000 Tl
0.000 0.000 0.000 Ga
0.500 0.000 0.500 Ga
0.000 0.767 0.741 Br
0.000 0.233 0.259 Br
0.500 0.765 0.248 Br
0.500 0.235 0.752 Br
```


(12)
An optimized crystal structure of LiTlGeO3, computed with GGA-PBE.

Calculated values
* E_tot: -5.4531 eV/atom
* symmetry: Cmcm, No. 63
* raw formation energy: -1.49 eV/atom

```
LiTlGeO3
1.0
5.380 0.000 0.000
0.000 5.633 0.000
0.000 -2.816 5.271
Li Tl Ge O
2 2 2 6
Direct
0.250 0.420 0.840 Li
0.750 0.580 0.160 Li
0.750 0.268 0.535 Tl
0.250 0.732 0.465 Tl
0.250 0.054 0.108 Ge
0.750 0.946 0.892 Ge
0.250 0.222 0.444 O
0.000 0.222 0.000 O
0.500 0.778 0.000 O
0.500 0.222 0.000 O
0.000 0.778 0.000 O
0.750 0.778 0.556 O
```


(13)
An optimized crystal structure of La2VZnCo, computed with GGA-PBE.

Calculated values
* E_tot: -5.0548 eV/atom
* symmetry: P4/mmm, No. 123
* ΔE_f: 0.42 eV/atom

```
La2VZnCo
1.0
5.497 0.000 0.000
0.000 4.177 0.000
0.000 0.000 5.497
Zn V Co La
1 1 1 2
Direct
0.500 0.500 0.500 Zn
0.000 0.000 0.000 V
0.000 0.500 0.000 Co
0.000 0.000 0.500 La
0.500 0.000 0.000 La
```